[1]
This record from Alexandria via LeMat-Bulk describes an optimized crystal structure of PrZrBi2. The functional is PBE-GGA.

CIF file:
```
data_PrZrBi2
_symmetry_space_group_name_H-M 'R 3 m'
_symmetry_Int_Tables_number 160
_symmetry_space_group_name_Hall 'R 3 -2"'
_cell_length_a 4.3252
_cell_length_b 4.3252
_cell_length_c 23.1913
_cell_angle_alpha 90.00
_cell_angle_beta 90.00
_cell_angle_gamma 120.00
loop_
_atom_site_label
_atom_site_fract_x
_atom_site_fract_y
_atom_site_fract_z
Pr1 0.0000 0.0000 0.0000
Zr1 0.0000 0.0000 0.8281
Bi1 0.0000 0.0000 0.4201
Bi2 0.0000 0.0000 0.5736
```

Final energy in eV per atom: -5.7850
Fermi-level density of states in states/eV/cell: 10.34
Formation energy in kJ/mol of atoms: -49

---

[2]
This record from Alexandria via LeMat-Bulk describes an optimized crystal structure of TaVTc2. The functional is PBE-GGA.

CIF file:
```
data_TaVTc2
_symmetry_space_group_name_H-M 'P 4/m m m'
_symmetry_Int_Tables_number 123
_symmetry_space_group_name_Hall '-P 4 2'
_cell_length_a 3.115
_cell_length_b 3.115
_cell_length_c 6.224
_cell_angle_alpha 90.00
_cell_angle_beta 90.00
_cell_angle_gamma 90.00
loop_
_atom_site_label
_atom_site_fract_x
_atom_site_fract_y
_atom_site_fract_z
Ta1 0.000 0.000 0.000
V1 0.000 0.000 0.500
Tc1 0.500 0.500 0.261
```

Final energy in eV per atom: -10.8236
Fermi-level density of states in states/eV/cell: 1.84
Formation energy in kJ/mol of atoms: -38

---

> Which value of Fermi-level density of states does entry 1 give?

10.34 states/eV/cell

---

> What is the formation energy in the second record?

-38 kJ/mol of atoms